4
Lattice="3.717 0.000 0.000 0.000 3.975 0.000 0.000 0.000 5.491" Properties=species:S:1:pos:R:3 comment="TlP2Au PBE-GGA relaxed" e_above_lowest_polymorph_mev_per_atom=648 spacegroup="Pmmm, No. 47" formation_enthalpy_0k_ev_per_fu=2.47 pbc="T T T"
P 0.000 0.000 0.000
P 1.859 0.000 2.746
Tl 1.859 1.987 0.000
Au 0.000 1.987 2.746